Entry 1:
Below is crystalline Zn10CdIn at its relaxed geometry, with properties calculated at the PBE level.

Structure (CIF):
```
data_Zn10CdIn
_chemical_formula_sum 'Zn10 Cd1 In1'
_cell_length_a 4.288
_cell_length_b 5.585
_cell_length_c 8.874
_cell_angle_alpha 90.00
_cell_angle_beta 90.00
_cell_angle_gamma 90.00
_symmetry_space_group_name_H-M 'P m m m'
_symmetry_Int_Tables_number 47
loop_
_symmetry_equiv_pos_as_xyz
'x,y,z'
'-x,-y,-z'
'-x,-y,z'
'x,y,-z'
'x,-y,-z'
'-x,y,z'
'-x,y,-z'
'x,-y,z'
loop_
_atom_site_label
_atom_site_type_symbol
_atom_site_fract_x
_atom_site_fract_y
_atom_site_fract_z
Zn1 Zn 0.000 0.000 0.000
Zn2 Zn 0.000 0.246 0.255
Zn3 Zn 0.000 0.500 0.500
Zn4 Zn 0.500 0.000 0.172
Zn5 Zn 0.500 0.500 0.335
Cd1 Cd 0.500 0.000 0.500
In1 In 0.500 0.500 0.000
```

Calculated values
calculated formation energy = 0.090 eV per atom

---

Entry 2:
Below is crystalline Ba2BiIr2 at its relaxed geometry, with properties calculated at the PBE level.

Structure (CIF):
```
data_Ba2BiIr2
_chemical_formula_sum 'Ba4 Bi2 Ir4'
_cell_length_a 7.598
_cell_length_b 7.598
_cell_length_c 4.962
_cell_angle_alpha 90.00
_cell_angle_beta 90.00
_cell_angle_gamma 90.00
_symmetry_space_group_name_H-M 'P 4/m b m'
_symmetry_Int_Tables_number 127
_symmetry_space_group_name_Hall '-P 4 2ab'
loop_
_atom_site_label
_atom_site_type_symbol
_atom_site_fract_x
_atom_site_fract_y
_atom_site_fract_z
Ba1 Ba 0.180 0.320 0.000
Bi1 Bi 0.000 0.000 0.500
Ir1 Ir 0.114 0.614 0.500
```

Calculated values
calculated formation energy = -0.113 eV per atom

---

Entry 3:
Below is crystalline BeNi at its relaxed geometry, with properties calculated at the PBE level.

Structure (CIF):
```
data_BeNi
_chemical_formula_sum 'Be2 Ni2'
_cell_length_a 2.485
_cell_length_b 3.926
_cell_length_c 3.833
_cell_angle_alpha 90.00
_cell_angle_beta 90.00
_cell_angle_gamma 90.00
_symmetry_space_group_name_H-M 'P m m n'
_symmetry_Int_Tables_number 59
loop_
_symmetry_equiv_pos_as_xyz
'x,y,z'
'-x,-y,-z'
'-x+1/2,-y+1/2,z'
'x+1/2,y+1/2,-z'
'x+1/2,-y,-z'
'-x+1/2,y,z'
'-x,y+1/2,-z'
'x,-y+1/2,z'
loop_
_atom_site_label
_atom_site_type_symbol
_atom_site_fract_x
_atom_site_fract_y
_atom_site_fract_z
Be1 Be 0.250 0.250 0.091
Ni1 Ni 0.250 0.750 0.401
```

Calculated values
calculated formation energy = -0.246 eV per atom

---

Entry 4:
Below is crystalline CeMn2GaGe at its relaxed geometry, with properties calculated at the PBE level.

Structure (CIF):
```
data_CeMn2GaGe
_chemical_formula_sum 'Ce4 Mn8 Ga4 Ge4'
_cell_length_a 5.713
_cell_length_b 10.668
_cell_length_c 5.631
_cell_angle_alpha 90.00
_cell_angle_beta 90.00
_cell_angle_gamma 90.00
_symmetry_space_group_name_H-M 'C m c m'
_symmetry_Int_Tables_number 63
_symmetry_space_group_name_Hall '-C 2c 2'
loop_
_atom_site_label
_atom_site_type_symbol
_atom_site_fract_x
_atom_site_fract_y
_atom_site_fract_z
Ce1 Ce 0.000 0.236 0.250
Mn1 Mn 0.183 0.500 0.000
Ga1 Ga 0.000 0.095 0.750
Ge1 Ge 0.000 0.340 0.750
```

Calculated values
calculated formation energy = -0.276 eV per atom

---

Entry 5:
Below is crystalline HfTaZn2 at its relaxed geometry, with properties calculated at the PBE level.

Structure (CIF):
```
data_HfTaZn2
_chemical_formula_sum 'Hf1 Ta1 Zn2'
_cell_length_a 3.388
_cell_length_b 3.388
_cell_length_c 5.941
_cell_angle_alpha 90.00
_cell_angle_beta 90.00
_cell_angle_gamma 90.00
_symmetry_space_group_name_H-M 'P 4/m m m'
_symmetry_Int_Tables_number 123
_symmetry_space_group_name_Hall '-P 4 2'
loop_
_atom_site_label
_atom_site_type_symbol
_atom_site_fract_x
_atom_site_fract_y
_atom_site_fract_z
Hf1 Hf 0.000 0.000 0.000
Ta1 Ta 0.000 0.000 0.500
Zn1 Zn 0.500 0.500 0.261
```

Calculated values
calculated formation energy = 0.017 eV per atom

---

Entry 6:
Below is crystalline SrYTcRu2 at its relaxed geometry, with properties calculated at the PBE level.

Structure (CIF):
```
data_SrYTcRu2
_chemical_formula_sum 'Sr1 Y1 Tc1 Ru2'
_cell_length_a 4.863
_cell_length_b 4.863
_cell_length_c 4.846
_cell_angle_alpha 90.00
_cell_angle_beta 90.00
_cell_angle_gamma 90.00
_symmetry_space_group_name_H-M 'P 4/m m m'
_symmetry_Int_Tables_number 123
_symmetry_space_group_name_Hall '-P 4 2'
loop_
_atom_site_label
_atom_site_type_symbol
_atom_site_fract_x
_atom_site_fract_y
_atom_site_fract_z
Sr1 Sr 0.000 0.000 0.000
Y1 Y 0.500 0.500 0.500
Tc1 Tc 0.000 0.000 0.500
Ru1 Ru 0.000 0.500 0.000
```

Calculated values
calculated formation energy = 1.946 eV per atom

---

Entry 7:
Below is crystalline Y3ReMo at its relaxed geometry, with properties calculated at the PBE level.

Structure (CIF):
```
data_Y3ReMo
_chemical_formula_sum 'Y3 Re1 Mo1'
_cell_length_a 5.349
_cell_length_b 5.349
_cell_length_c 5.349
_cell_angle_alpha 90.00
_cell_angle_beta 90.00
_cell_angle_gamma 90.00
_symmetry_space_group_name_H-M 'P m -3 m'
_symmetry_Int_Tables_number 221
_symmetry_space_group_name_Hall '-P 4 2 3'
loop_
_atom_site_label
_atom_site_type_symbol
_atom_site_fract_x
_atom_site_fract_y
_atom_site_fract_z
Y1 Y 0.000 0.000 0.500
Re1 Re 0.000 0.000 0.000
Mo1 Mo 0.500 0.500 0.500
```

Calculated values
calculated formation energy = 0.934 eV per atom

---

Entry 8:
Below is crystalline Mg3TiIr at its relaxed geometry, with properties calculated at the PBE level.

Structure (CIF):
```
data_Mg3TiIr
_chemical_formula_sum 'Mg3 Ti1 Ir1'
_cell_length_a 4.868
_cell_length_b 4.868
_cell_length_c 4.868
_cell_angle_alpha 90.00
_cell_angle_beta 90.00
_cell_angle_gamma 90.00
_symmetry_space_group_name_H-M 'P m -3 m'
_symmetry_Int_Tables_number 221
_symmetry_space_group_name_Hall '-P 4 2 3'
loop_
_atom_site_label
_atom_site_type_symbol
_atom_site_fract_x
_atom_site_fract_y
_atom_site_fract_z
Mg1 Mg 0.000 0.000 0.500
Ti1 Ti 0.500 0.500 0.500
Ir1 Ir 0.000 0.000 0.000
```

Calculated values
calculated formation energy = 0.468 eV per atom

---

Entry 9:
Below is crystalline Ac2PN5 at its relaxed geometry, with properties calculated at the PBE level.

Structure (CIF):
```
data_Ac2PN5
_chemical_formula_sum 'Ac4 P2 N10'
_cell_length_a 5.728
_cell_length_b 5.728
_cell_length_c 7.834
_cell_angle_alpha 90.00
_cell_angle_beta 90.00
_cell_angle_gamma 90.00
_symmetry_space_group_name_H-M 'I 4 m m'
_symmetry_Int_Tables_number 107
_symmetry_space_group_name_Hall 'I 4 -2'
loop_
_atom_site_label
_atom_site_type_symbol
_atom_site_fract_x
_atom_site_fract_y
_atom_site_fract_z
Ac1 Ac 0.000 0.500 0.000
P1 P 0.000 0.000 0.271
N1 N 0.000 0.000 0.482
N2 N 0.205 0.205 0.218
```

Calculated values
raw formation energy = -0.167 eV per atom

---

Entry 10:
Below is crystalline AgSbTe2Cl at its relaxed geometry, with properties calculated at the PBE level.

Structure (CIF):
```
data_AgSbTe2Cl
_chemical_formula_sum 'Ag1 Sb1 Te2 Cl1'
_cell_length_a 5.353
_cell_length_b 5.353
_cell_length_c 5.584
_cell_angle_alpha 90.00
_cell_angle_beta 90.00
_cell_angle_gamma 90.00
_symmetry_space_group_name_H-M 'P 4/m m m'
_symmetry_Int_Tables_number 123
_symmetry_space_group_name_Hall '-P 4 2'
loop_
_atom_site_label
_atom_site_type_symbol
_atom_site_fract_x
_atom_site_fract_y
_atom_site_fract_z
Ag1 Ag 0.000 0.000 0.000
Sb1 Sb 0.000 0.000 0.500
Te1 Te 0.000 0.500 0.000
Cl1 Cl 0.500 0.500 0.500
```

Calculated values
raw formation energy = 0.512 eV per atom

---

Entry 11:
Below is crystalline CeMgFe4 at its relaxed geometry, with properties calculated at the PBE level.

Structure (CIF):
```
data_CeMgFe4
_chemical_formula_sum 'Ce4 Mg4 Fe16'
_cell_length_a 7.124
_cell_length_b 7.124
_cell_length_c 7.124
_cell_angle_alpha 90.00
_cell_angle_beta 90.00
_cell_angle_gamma 90.00
_symmetry_space_group_name_H-M 'F -4 3 m'
_symmetry_Int_Tables_number 216
_symmetry_space_group_name_Hall 'F -4 2 3'
loop_
_atom_site_label
_atom_site_type_symbol
_atom_site_fract_x
_atom_site_fract_y
_atom_site_fract_z
Ce1 Ce 0.000 0.000 0.000
Mg1 Mg 0.250 0.250 0.250
Fe1 Fe 0.125 0.125 0.625
```

Calculated values
calculated formation energy = -0.007 eV per atom

---

Entry 12:
Below is crystalline Sm3ScGa2 at its relaxed geometry, with properties calculated at the PBE level.

Structure (CIF):
```
data_Sm3ScGa2
_chemical_formula_sum 'Sm12 Sc4 Ga8'
_cell_length_a 6.403
_cell_length_b 15.664
_cell_length_c 6.350
_cell_angle_alpha 90.00
_cell_angle_beta 90.00
_cell_angle_gamma 90.00
_symmetry_space_group_name_H-M 'I b a m'
_symmetry_Int_Tables_number 72
_symmetry_space_group_name_Hall '-I 2 2c'
loop_
_atom_site_label
_atom_site_type_symbol
_atom_site_fract_x
_atom_site_fract_y
_atom_site_fract_z
Sm1 Sm 0.000 0.000 0.250
Sm2 Sm 0.243 0.321 0.000
Sc1 Sc 0.000 0.500 0.250
Ga1 Ga 0.233 0.372 0.500
```

Calculated values
calculated formation energy = -0.378 eV per atom